Material: Pr6IrRh2Br3
Method: DFT, PBE-GGA
State: relaxed

Lattice parameters (Å, degrees): 7.2152 7.2152 8.2433 98.39 98.39 120.00
Fractional coordinates of all 12 atoms:
Pr (0.0653, 0.3979, 0.1961)
Pr (0.2672, 0.2672, 0.8038)
Pr (0.3979, 0.0653, 0.1961)
Pr (0.6021, 0.9347, 0.8039)
Pr (0.7328, 0.7328, 0.1962)
Pr (0.9347, 0.6021, 0.8039)
Ir (0.0000, 0.0000, 0.0000)
Rh (0.3333, 0.6667, 0.0000)
Rh (0.6667, 0.3333, 0.0000)
Br (0.1667, 0.8333, 0.5000)
Br (0.5000, 0.5000, 0.5000)
Br (0.8333, 0.1667, 0.5000)

## Properties
VASP energy   -5.85 eV/atom
Raw formation energy   -103.9 kJ/mol of atoms

=====

Material: NaCaLaEu
Method: DFT, PBE-GGA
State: relaxed

Lattice parameters (Å, degrees): 8.5488 8.5488 8.5488 90.00 90.00 90.00
Fractional coordinates of all 16 atoms:
Na (0.0000, 0.0000, 0.0000)
Na (0.0000, 0.5000, 0.5000)
Na (0.5000, 0.0000, 0.5000)
Na (0.5000, 0.5000, 0.0000)
Ca (0.2500, 0.2500, 0.7500)
Ca (0.2500, 0.7500, 0.2500)
Ca (0.7500, 0.2500, 0.2500)
Ca (0.7500, 0.7500, 0.7500)
La (0.2500, 0.2500, 0.2500)
La (0.2500, 0.7500, 0.7500)
La (0.7500, 0.2500, 0.7500)
La (0.7500, 0.7500, 0.2500)
Eu (0.0000, 0.0000, 0.5000)
Eu (0.0000, 0.5000, 0.0000)
Eu (0.5000, 0.0000, 0.0000)
Eu (0.5000, 0.5000, 0.5000)

## Properties
VASP energy   -4.42 eV/atom
Energy of formation from the pure elements   0.211 eV/atom

=====

Material: Cs3AgI4
Method: DFT, PBE-GGA
State: relaxed

Lattice parameters (Å, degrees): 12.5447 10.2309 7.7400 90.00 90.00 90.00
Fractional coordinates of all 16 atoms:
Cs (0.0000, 0.1163, 0.0000)
Cs (0.2230, 0.3348, 0.5072)
Cs (0.2770, 0.6652, 0.0072)
Cs (0.5000, 0.8837, 0.5000)
Cs (0.7230, 0.6652, 0.0072)
Cs (0.7770, 0.3348, 0.5072)
Ag (0.0000, 0.8051, 0.4143)
Ag (0.5000, 0.1949, 0.9143)
I (0.0000, 0.0854, 0.4995)
I (0.0000, 0.7580, 0.0480)
I (0.2130, 0.7086, 0.5127)
I (0.2870, 0.2914, 0.0127)
I (0.5000, 0.2420, 0.5480)
I (0.5000, 0.9146, 0.9995)
I (0.7130, 0.2914, 0.0127)
I (0.7870, 0.7086, 0.5127)

## Properties
Distance to the lowest polymorph of the same formula   2.52 kJ/mol of atoms
VASP energy   -2.62 eV/atom
Raw formation energy   -112.3 kJ/mol of atoms

=====

Material: ThHg2Bi
Method: DFT, PBE-GGA
State: relaxed

Lattice parameters (Å, degrees): 3.4432 3.4432 35.8726 90.00 90.00 120.00
Fractional coordinates of all 12 atoms:
Th (0.0000, 0.0000, 0.0000)
Th (0.3333, 0.6667, 0.6667)
Th (0.6667, 0.3333, 0.3333)
Hg (0.0000, 0.0000, 0.0884)
Hg (0.0000, 0.0000, 0.9116)
Hg (0.3333, 0.6667, 0.5783)
Hg (0.3333, 0.6667, 0.7551)
Hg (0.6667, 0.3333, 0.2449)
Hg (0.6667, 0.3333, 0.4217)
Bi (0.0000, 0.0000, 0.5000)
Bi (0.3333, 0.6667, 0.1667)
Bi (0.6667, 0.3333, 0.8333)

## Properties
Distance to the lowest polymorph of the same formula   49.25 kJ/mol of atoms
VASP energy   -2.79 eV/atom
Energy of formation from the pure elements   0.185 eV/atom

=====

Material: TeI2Br
Method: DFT, PBE-GGA
State: relaxed

Lattice parameters (Å, degrees): 8.7164 6.6653 12.1536 90.00 90.00 90.00
Fractional coordinates of all 16 atoms:
Te (0.2500, 0.0000, 0.0794)
Te (0.2500, 0.5000, 0.4206)
Te (0.7500, 0.0000, 0.9206)
Te (0.7500, 0.5000, 0.5794)
I (0.1131, 0.2491, 0.9221)
I (0.1131, 0.2509, 0.5779)
I (0.3869, 0.7491, 0.5779)
I (0.3869, 0.7509, 0.9221)
I (0.6131, 0.2491, 0.0779)
I (0.6131, 0.2509, 0.4221)
I (0.8869, 0.7491, 0.4221)
I (0.8869, 0.7509, 0.0779)
Br (0.1083, 0.2500, 0.2500)
Br (0.3917, 0.7500, 0.2500)
Br (0.6083, 0.2500, 0.7500)
Br (0.8917, 0.7500, 0.7500)

## Properties
Distance to the lowest polymorph of the same formula   0.00 kJ/mol of atoms
VASP energy   -2.10 eV/atom
Raw formation energy   -12.0 kJ/mol of atoms

=====

Material: KTb2Th
Method: DFT, PBE-GGA
State: relaxed

Lattice parameters (Å, degrees): 3.6138 3.6138 39.5414 90.00 90.00 120.00
Fractional coordinates of all 12 atoms:
K (0.0000, 0.0000, 0.0000)
K (0.3333, 0.6667, 0.6667)
K (0.6667, 0.3333, 0.3333)
Tb (0.0000, 0.0000, 0.0965)
Tb (0.0000, 0.0000, 0.9035)
Tb (0.3333, 0.6667, 0.5701)
Tb (0.3333, 0.6667, 0.7632)
Tb (0.6667, 0.3333, 0.2368)
Tb (0.6667, 0.3333, 0.4299)
Th (0.0000, 0.0000, 0.5000)
Th (0.3333, 0.6667, 0.1667)
Th (0.6667, 0.3333, 0.8333)

## Properties
VASP energy   -4.23 eV/atom
Energy of formation from the pure elements   0.218 eV/atom

=====

Material: Tc4B2H
Method: DFT, PBE-GGA
State: relaxed

Lattice parameters (Å, degrees): 3.6614 3.6614 11.4432 90.00 90.00 90.00
Fractional coordinates of all 14 atoms:
Tc (0.0000, 0.0000, 0.1791)
Tc (0.0000, 0.0000, 0.8209)
Tc (0.0000, 0.5000, 0.0000)
Tc (0.0000, 0.5000, 0.5000)
Tc (0.5000, 0.0000, 0.0000)
Tc (0.5000, 0.0000, 0.5000)
Tc (0.5000, 0.5000, 0.3209)
Tc (0.5000, 0.5000, 0.6791)
B (0.0000, 0.0000, 0.3646)
B (0.0000, 0.0000, 0.6354)
B (0.5000, 0.5000, 0.1354)
B (0.5000, 0.5000, 0.8646)
H (0.0000, 0.0000, 0.0000)
H (0.5000, 0.5000, 0.5000)

## Properties
VASP energy   -8.05 eV/atom

=====

Material: BaInPH
Method: DFT, PBE-GGA
State: relaxed

Lattice parameters (Å, degrees): 4.6252 4.6252 10.6791 90.00 90.00 120.00
Fractional coordinates of all 8 atoms:
Ba (0.3333, 0.6667, 0.0000)
Ba (0.6667, 0.3333, 0.5000)
In (0.0000, 0.0000, 0.2623)
In (0.0000, 0.0000, 0.7623)
P (0.3333, 0.6667, 0.3049)
P (0.6667, 0.3333, 0.8049)
H (0.0000, 0.0000, 0.0806)
H (0.0000, 0.0000, 0.5806)

## Properties
VASP energy   -3.81 eV/atom